(1)
This record from the Alexandria database describes an optimized crystal structure of CaThPt2. The functional is PBE.

Cell: 3.630 3.630 7.196 Å, 90.00 90.00 90.00°
Element x y z (fractional)
Ca 0.500 0.500 0.500
Pt 0.000 0.000 0.221
Pt 0.000 0.000 0.779
Th 0.500 0.500 0.000

Calculated values
**E_form**: -1045 meV per atom
**Calculated density**: 11.60 g/cm3
**Fermi-level density of states**: 0.4474 states/eV/atom
**Final energy**: -25.682 eV/cell
**Polymorph energy (0 for the lowest one)**: 0.25 eV/f.u.

=====

(2)
This record from the Alexandria database describes an optimized crystal structure of CaThPt2. The functional is PBE.

Cell: 4.062 4.062 7.601 Å, 74.50 74.50 60.00°
Element x y z (fractional)
Th 0.668 0.668 0.995
Pt 0.080 0.080 0.761
Pt 0.255 0.255 0.235
Ca 0.497 0.497 0.509

Calculated values
**E_form**: -1039 meV per atom
**Calculated density**: 10.64 g/cm3
**Fermi-level density of states**: 0.3825 states/eV/atom
**Final energy**: -25.660 eV/cell
**Polymorph energy (0 for the lowest one)**: 0.27 eV/f.u.

=====

(3)
This record from the Alexandria database describes an optimized crystal structure of CaThPt. The functional is PBE.

Cell: 4.967 4.967 4.967 Å, 60.00 60.00 60.00°
Element x y z (fractional)
Ca 0.000 0.000 0.000
Th 0.500 0.500 0.500
Pt 0.250 0.250 0.250

Calculated values
**E_form**: -617 meV per atom
**Calculated density**: 8.95 g/cm3
**Fermi-level density of states**: 1.1401 states/eV/atom
**Final energy**: -17.312 eV/cell
**Polymorph energy (0 for the lowest one)**: 0.18 eV/f.u.

=====

(4)
This record from the Alexandria database describes an optimized crystal structure of CaYTh2Pt4. The functional is PBE.

Cell: 5.872 5.872 7.179 Å, 115.73 115.73 86.47°
Element x y z (fractional)
Th 0.668 0.168 0.500
Th 0.168 0.668 0.500
Y 0.922 0.922 0.000
Pt 0.003 0.410 0.000
Pt 0.666 0.666 0.498
Pt 0.167 0.167 0.502
Pt 0.410 0.003 0.000
Ca 0.494 0.494 0.000

Calculated values
**E_form**: -1089 meV per atom
**Calculated density**: 11.49 g/cm3
**Fermi-level density of states**: 0.5349 states/eV/atom
**Final energy**: -56.180 eV/cell